Entry 1:
Here is HfReAsBr2 after structural relaxation from the Alexandria database. Energies are from PBE-GGA.

```
data_HfReAsBr2
_chemical_formula_sum 'Hf1 Re1 As1 Br2'
_cell_length_a 5.181
_cell_length_b 5.181
_cell_length_c 5.341
_cell_angle_alpha 90.00
_cell_angle_beta 90.00
_cell_angle_gamma 90.00
_space_group_name_H-M_alt 'P 4/m m m'
_space_group_IT_number 123
_space_group_name_Hall '-P 4 2'
loop_
_atom_site_label
_atom_site_type_symbol
_atom_site_fract_x
_atom_site_fract_y
_atom_site_fract_z
_atom_site_occupancy
Hf1 Hf 0.000 0.000 0.000 1
Re1 Re 0.500 0.500 0.500 1
As1 As 0.000 0.000 0.500 1
Br1 Br 0.000 0.500 0.000 1
```

Values from the calculation:
For the energy above the most stable polymorph in this dataset, the calculation gives 0.00 kJ per mole of atoms. As for the energy relative to the elements, uncorrected: 80.3 kJ per mole of atoms. As for the final energy: -5.2470 eV per atom.


Entry 2:
Here is HfReAs2Br after structural relaxation from the Alexandria database. Energies are from PBE-GGA.

```
data_HfReAs2Br
_chemical_formula_sum 'Hf1 Re1 As2 Br1'
_cell_length_a 4.765
_cell_length_b 4.765
_cell_length_c 5.172
_cell_angle_alpha 90.00
_cell_angle_beta 90.00
_cell_angle_gamma 90.00
_space_group_name_H-M_alt 'P 4/m m m'
_space_group_IT_number 123
_space_group_name_Hall '-P 4 2'
loop_
_atom_site_label
_atom_site_type_symbol
_atom_site_fract_x
_atom_site_fract_y
_atom_site_fract_z
_atom_site_occupancy
Hf1 Hf 0.000 0.000 0.000 1
Re1 Re 0.500 0.500 0.500 1
As1 As 0.000 0.500 0.500 1
Br1 Br 0.500 0.500 0.000 1
```

Values from the calculation:
For the energy above the most stable polymorph in this dataset, the calculation gives 0.00 kJ per mole of atoms. As for the energy relative to the elements, uncorrected: 80.7 kJ per mole of atoms. As for the final energy: -5.8381 eV per atom.


Entry 3:
Here is HfReAsBr2 after structural relaxation from the Alexandria database. Energies are from PBE-GGA.

```
data_HfReAsBr2
_chemical_formula_sum 'Hf1 Re1 As1 Br2'
_cell_length_a 5.064
_cell_length_b 5.064
_cell_length_c 4.780
_cell_angle_alpha 90.00
_cell_angle_beta 90.00
_cell_angle_gamma 90.00
_space_group_name_H-M_alt 'P 4/m m m'
_space_group_IT_number 123
_space_group_name_Hall '-P 4 2'
loop_
_atom_site_label
_atom_site_type_symbol
_atom_site_fract_x
_atom_site_fract_y
_atom_site_fract_z
_atom_site_occupancy
Hf1 Hf 0.000 0.000 0.000 1
Re1 Re 0.500 0.500 0.500 1
As1 As 0.500 0.500 0.000 1
Br1 Br 0.000 0.500 0.500 1
```

Values from the calculation:
For the energy above the most stable polymorph in this dataset, the calculation gives 16.51 kJ per mole of atoms. As for the energy relative to the elements, uncorrected: 96.8 kJ per mole of atoms. As for the final energy: -5.0758 eV per atom.


Entry 4:
Here is HfReAs2Br after structural relaxation from the Alexandria database. Energies are from PBE-GGA.

```
data_HfReAs2Br
_chemical_formula_sum 'Hf1 Re1 As2 Br1'
_cell_length_a 5.199
_cell_length_b 5.199
_cell_length_c 5.111
_cell_angle_alpha 90.00
_cell_angle_beta 90.00
_cell_angle_gamma 90.00
_space_group_name_H-M_alt 'P 4/m m m'
_space_group_IT_number 123
_space_group_name_Hall '-P 4 2'
loop_
_atom_site_label
_atom_site_type_symbol
_atom_site_fract_x
_atom_site_fract_y
_atom_site_fract_z
_atom_site_occupancy
Hf1 Hf 0.000 0.000 0.000 1
Re1 Re 0.500 0.500 0.500 1
As1 As 0.000 0.500 0.000 1
Br1 Br 0.000 0.000 0.500 1
```

Values from the calculation:
For the energy above the most stable polymorph in this dataset, the calculation gives 19.62 kJ per mole of atoms. As for the energy relative to the elements, uncorrected: 100.3 kJ per mole of atoms. As for the final energy: -5.6347 eV per atom.


final energy of number 3 (HfReAsBr2)? -5.0758 eV per atom


Look up the final energy of the third one. -5.0758 eV per atom


Copy entry 3 word for word.
Here is HfReAsBr2 after structural relaxation from the Alexandria database. Energies are from PBE-GGA.

```
data_HfReAsBr2
_chemical_formula_sum 'Hf1 Re1 As1 Br2'
_cell_length_a 5.064
_cell_length_b 5.064
_cell_length_c 4.780
_cell_angle_alpha 90.00
_cell_angle_beta 90.00
_cell_angle_gamma 90.00
_space_group_name_H-M_alt 'P 4/m m m'
_space_group_IT_number 123
_space_group_name_Hall '-P 4 2'
loop_
_atom_site_label
_atom_site_type_symbol
_atom_site_fract_x
_atom_site_fract_y
_atom_site_fract_z
_atom_site_occupancy
Hf1 Hf 0.000 0.000 0.000 1
Re1 Re 0.500 0.500 0.500 1
As1 As 0.500 0.500 0.000 1
Br1 Br 0.000 0.500 0.500 1
```

Values from the calculation:
For the energy above the most stable polymorph in this dataset, the calculation gives 16.51 kJ per mole of atoms. As for the energy relative to the elements, uncorrected: 96.8 kJ per mole of atoms. As for the final energy: -5.0758 eV per atom.